# 1
ScTl2CoBi (PBE, relaxed); symmetry = P4/mmm; formation energy = 0.944 eV/atom
1.0
5.626 0.000 0.000
0.000 5.533 0.000
0.000 0.000 5.626
Tl Co Bi Sc
2 1 1 1
Direct
0.000 0.000 0.500
0.500 0.000 0.000
0.500 0.500 0.500
0.000 0.500 0.000
0.000 0.000 0.000

# 2
Li2ScPb3 (PBE, relaxed); symmetry = Cmmm; formation energy = -0.291 eV/atom
1.0
-1.157 -2.640 4.220
6.954 -3.082 3.073
0.868 5.831 3.885
Pb Li Sc
6 4 2
Direct
0.165 0.671 0.742
0.835 0.329 0.742
0.500 0.000 0.258
0.835 0.329 0.258
0.500 0.000 0.742
0.165 0.671 0.258
0.663 0.673 0.500
0.337 0.327 0.500
0.000 0.000 0.000
0.000 0.000 0.500
0.662 0.676 0.000
0.338 0.324 0.000

# 3
Cu3Rh4O12 (PBE, relaxed); symmetry = Im-3; E_form (uncorrected) = -0.607 eV per atom
1.0
6.431 0.000 0.000
-2.144 6.064 0.000
-2.144 -3.032 5.251
Rh O Cu
4 12 3
Direct
0.000 0.500 0.000
0.500 0.500 0.500
0.000 0.000 0.500
0.500 0.000 0.000
0.175 0.319 0.494
0.856 0.175 0.681
0.175 0.681 0.856
0.825 0.681 0.506
0.494 0.175 0.319
0.681 0.506 0.825
0.681 0.856 0.175
0.319 0.144 0.825
0.825 0.319 0.144
0.319 0.494 0.175
0.144 0.825 0.319
0.506 0.825 0.681
0.000 0.500 0.500
0.500 0.000 0.500
0.500 0.500 0.000

# 4
ErCdSe (PBE, relaxed); symmetry = Fmmm; E_form (uncorrected) = -0.793 eV per atom
1.0
-2.602 -2.291 3.270
4.600 -1.245 0.048
2.453 3.796 6.715
Cd Er Se
2 2 2
Direct
0.176 0.824 0.000
0.824 0.176 0.000
0.623 0.623 0.753
0.377 0.377 0.247
0.184 0.184 0.631
0.816 0.816 0.369

# 5
SrCdSbI2 (PBE, relaxed); symmetry = P4/mmm; E_form (uncorrected) = -0.361 eV per atom
1.0
-4.082 -0.655 -4.239
-0.477 -5.746 1.347
-4.093 1.219 3.753
Cd I Sb Sr
1 2 1 1
Direct
0.000 0.000 0.000
0.500 0.000 0.000
0.000 0.500 0.000
0.000 0.000 0.500
0.500 0.500 0.500

# 6
USn2 (PBE, relaxed); symmetry = P4/mmm; formation energy = 0.007 eV/atom
1.0
-1.270 0.996 2.710
-2.688 -1.488 -0.714
6.523 -5.832 1.529
U Sn
1 2
Direct
0.500 0.500 0.000
0.310 0.310 0.310
0.690 0.690 0.690

# 7
Pm2Sm5TmSc (PBE, relaxed); symmetry = Cmcm; formation energy = 0.122 eV/atom
1.0
-2.023 -4.828 1.214
4.802 -1.563 -10.108
8.706 -2.510 4.524
Sm Tm Sc Pm
10 2 2 4
Direct
0.000 0.999 0.008
0.627 0.255 0.508
0.278 0.556 0.696
0.500 0.000 0.258
0.722 0.444 0.196
0.500 0.000 0.758
0.278 0.556 0.321
0.000 0.001 0.508
0.722 0.444 0.821
0.373 0.745 0.008
0.398 0.796 0.508
0.602 0.204 0.008
0.213 0.426 0.008
0.787 0.574 0.508
0.116 0.232 0.261
0.884 0.768 0.256
0.116 0.232 0.756
0.884 0.768 0.761

Number 1: DFT total energy -17.3 eV/f.u., density of states at the Fermi level 8.68 states/eV/cell. Number 2: DFT total energy -23.0 eV/f.u., density of states at the Fermi level 4.46 states/eV/cell. Number 3: DFT total energy -112.7 eV/f.u., density of states at the Fermi level 15.60 states/eV/cell. Number 4: DFT total energy -11.3 eV/f.u., density of states at the Fermi level 2.00 states/eV/cell. Number 5: DFT total energy -11.6 eV/f.u., density of states at the Fermi level 4.44 states/eV/cell. Number 6: DFT total energy -19.3 eV/f.u., density of states at the Fermi level 6.11 states/eV/cell. Number 7: DFT total energy -42.8 eV/f.u., density of states at the Fermi level 25.22 states/eV/cell.